Computed, not measured: a relaxed KThPtO4 crystal at the PBE-GGA level of DFT.

Output
The calculation puts the spin magnetization at 0.00 μB per cell. For the raw formation energy, the calculation gives -1.93 eV/atom. The theoretical density is 6.70 g/cm³.

Structure (POSCAR):
```
KThPtO4
1.0
-3.108 3.598 5.876
3.108 -3.598 5.876
3.108 3.598 -5.876
K Th Pt O
2 2 2 8
Direct
0.428 0.178 0.250 K
0.572 0.822 0.750 K
0.000 0.500 0.500 Th
0.500 0.500 0.000 Th
0.000 0.000 0.500 Pt
0.000 0.500 0.000 Pt
0.133 0.713 0.420 O
0.208 0.287 0.920 O
0.279 0.318 0.538 O
0.279 0.741 0.962 O
0.721 0.259 0.038 O
0.721 0.682 0.462 O
0.792 0.713 0.080 O
0.867 0.287 0.580 O
```